[1]
{"formula": "SrTh2Os", "functional": "PBE", "state": "optimized geometry", "lattice_angstrom": [[2.069, 1.195, 10.914], [-2.069, 1.195, 10.914], [0.000, -2.389, 10.914]], "species": ["Sr", "Th", "Th", "Os"], "frac_coords": [[0.000, 0.000, 0.000], [0.121, 0.121, 0.121], [0.879, 0.879, 0.879], [0.500, 0.500, 0.500]], "total_energy_ev_per_atom": -6.930, "spacegroup": "R-3m"}

[2]
{"formula": "IrPd", "functional": "PBE", "state": "optimized geometry", "lattice_angstrom": [[-3.873, 3.873, 3.873], [3.873, -3.873, 3.873], [3.873, 3.873, -3.873]], "species": ["Ir", "Ir", "Ir", "Ir", "Pd", "Pd", "Pd", "Pd"], "frac_coords": [[0.000, 0.000, 0.310], [0.000, 0.310, 0.000], [0.310, 0.000, 0.000], [0.690, 0.690, 0.690], [0.000, 0.000, 0.673], [0.000, 0.673, 0.000], [0.327, 0.327, 0.327], [0.673, 0.000, 0.000]], "total_energy_ev_per_atom": -5.400, "spacegroup": "I-43m"}

[3]
{"formula": "Tl2Ag2Br5", "functional": "PBE", "state": "optimized geometry", "lattice_angstrom": [[-10.047, 4.008, 3.801], [10.047, -4.008, 3.801], [10.047, 4.008, -3.801]], "species": ["Tl", "Tl", "Tl", "Tl", "Ag", "Ag", "Ag", "Ag", "Br", "Br", "Br", "Br", "Br", "Br", "Br", "Br", "Br", "Br"], "frac_coords": [[0.041, 0.105, 0.146], [0.041, 0.395, 0.436], [0.959, 0.605, 0.564], [0.959, 0.895, 0.854], [0.458, 0.801, 0.157], [0.472, 0.472, 0.000], [0.472, 0.972, 0.500], [0.644, 0.301, 0.843], [0.006, 0.657, 0.849], [0.392, 0.083, 0.581], [0.392, 0.311, 0.809], [0.487, 0.213, 0.243], [0.487, 0.744, 0.774], [0.502, 0.583, 0.191], [0.502, 0.811, 0.419], [0.808, 0.157, 0.151], [0.970, 0.244, 0.757], [0.970, 0.713, 0.226]], "raw_formation_energy_ev_per_atom": -0.524, "total_energy_ev_per_atom": -2.613, "e_above_lowest_polymorph_mev_per_atom": 0, "spacegroup": "Ima2"}

[4]
{"formula": "CaRhPb2", "functional": "PBE", "state": "optimized geometry", "lattice_angstrom": [[16.024, 0.000, 0.000], [0.000, 8.424, 0.000], [0.000, 0.000, 5.919]], "species": ["Ca", "Ca", "Ca", "Ca", "Ca", "Ca", "Ca", "Ca", "Rh", "Rh", "Rh", "Rh", "Rh", "Rh", "Rh", "Rh", "Pb", "Pb", "Pb", "Pb", "Pb", "Pb", "Pb", "Pb", "Pb", "Pb", "Pb", "Pb", "Pb", "Pb", "Pb", "Pb"], "frac_coords": [[0.107, 0.250, 0.238], [0.142, 0.750, 0.018], [0.358, 0.250, 0.518], [0.393, 0.750, 0.738], [0.607, 0.250, 0.262], [0.642, 0.750, 0.482], [0.858, 0.250, 0.982], [0.893, 0.750, 0.762], [0.073, 0.750, 0.513], [0.176, 0.250, 0.730], [0.324, 0.750, 0.230], [0.427, 0.250, 0.013], [0.573, 0.750, 0.987], [0.676, 0.250, 0.770], [0.824, 0.750, 0.270], [0.927, 0.250, 0.487], [0.036, 0.047, 0.745], [0.036, 0.453, 0.745], [0.215, 0.549, 0.502], [0.215, 0.951, 0.502], [0.285, 0.049, 0.002], [0.285, 0.451, 0.002], [0.464, 0.547, 0.245], [0.464, 0.953, 0.245], [0.536, 0.047, 0.755], [0.536, 0.453, 0.755], [0.715, 0.549, 0.998], [0.715, 0.951, 0.998], [0.785, 0.049, 0.498], [0.785, 0.451, 0.498], [0.964, 0.547, 0.255], [0.964, 0.953, 0.255]], "total_energy_ev_per_atom": -4.557, "spacegroup": "Pnma"}

Repeat the second record exactly.
{"formula": "IrPd", "functional": "PBE", "state": "optimized geometry", "lattice_angstrom": [[-3.873, 3.873, 3.873], [3.873, -3.873, 3.873], [3.873, 3.873, -3.873]], "species": ["Ir", "Ir", "Ir", "Ir", "Pd", "Pd", "Pd", "Pd"], "frac_coords": [[0.000, 0.000, 0.310], [0.000, 0.310, 0.000], [0.310, 0.000, 0.000], [0.690, 0.690, 0.690], [0.000, 0.000, 0.673], [0.000, 0.673, 0.000], [0.327, 0.327, 0.327], [0.673, 0.000, 0.000]], "total_energy_ev_per_atom": -5.400, "spacegroup": "I-43m"}